Here is a geometry-optimized Li2MnP2O7 structure from Alexandria via LeMat-Bulk. Energies are from PBE+U.

Cell lengths 5.116, 7.822, 7.822 Å; angles 90.00, 90.00, 90.00 degrees
Fractional coordinates of all 24 atoms:
Li1 0.547 0.773 0.727
Li2 0.453 0.273 0.773
Li3 0.453 0.727 0.227
Li4 0.547 0.227 0.273
Mn1 0.000 0.500 0.500
Mn2 0.000 0.000 0.000
P1 0.885 0.141 0.641
P2 0.115 0.641 0.859
P3 0.115 0.359 0.141
P4 0.885 0.859 0.359
O1 0.801 0.000 0.500
O2 0.199 0.500 0.000
O3 0.178 0.156 0.656
O4 0.822 0.656 0.844
O5 0.822 0.344 0.156
O6 0.178 0.844 0.344
O7 0.745 0.305 0.578
O8 0.255 0.578 0.695
O9 0.745 0.078 0.805
O10 0.255 0.805 0.922
O11 0.255 0.195 0.078
O12 0.745 0.922 0.195
O13 0.255 0.422 0.305
O14 0.745 0.695 0.422

energy relative to the lowest polymorph listed for this composition = 0.95 eV/f.u.
magnetization = 5.00 μB/f.u.
final energy = -166.10 eV for the cell shown